## TmGeRh (GGA-PBE)

Data for an optimized crystal structure of TmGeRh.

Summary:
Space-group type = I4mm (107)
M_tot = 0.0 μB/cell
VASP energy = -6.169 eV per atom
Formation enthalpy at 0 K = -0.69 eV/atom

a = 5.6964 Å, b = 5.6964 Å, c = 5.6964 Å
α = 146.94°, β = 146.94°, γ = 47.45°
Last column: nearest neighbours and their distance in Å.
Sites, in units of the cell vectors:
Tm (0.0000, 0.0000, 0.0000)  5 Rh 2.98-3.30, 5 Ge 3.07-3.17, 4 Tm 3.24
Ge (0.6958, 0.6958, 0.0000)  4 Rh 2.62
Rh (0.3167, 0.3167, 0.0000)  4 Ge 2.62

## Tm3GeRh8 (GGA-PBE)

Data for an optimized crystal structure of Tm3GeRh8.

Summary:
Space-group type = R3m (160)
M_tot = 0.0 μB/cell
VASP energy = -6.997 eV per atom
Formation enthalpy at 0 K = -0.59 eV/atom

a = 9.1316 Å, b = 9.1316 Å, c = 9.1316 Å
α = 33.61°, β = 33.61°, γ = 33.61°
Last column: nearest neighbours and their distance in Å.
Sites, in units of the cell vectors:
Tm (0.0000, 0.0000, 0.0000)  12 Rh 2.99-3.16, 3 Ge 3.09
Tm (0.1302, 0.1302, 0.1302)  12 Rh 3.08-3.10, 4 Tm 3.35-3.36
Tm (0.5171, 0.5171, 0.5171)  9 Rh 2.94-3.17
Ge (0.6476, 0.6476, 0.6476)  3 Rh 2.71
Rh (0.0676, 0.0676, 0.5665)  6 Rh 2.61-2.65
Rh (0.0676, 0.5665, 0.0676)  6 Rh 2.61-2.65
Rh (0.0687, 0.5667, 0.5667)  6 Rh 2.63-2.66, 1 Ge 2.71
Rh (0.3160, 0.3160, 0.3160)  6 Rh 2.61-2.66
Rh (0.5665, 0.0676, 0.0676)  6 Rh 2.61-2.65
Rh (0.5667, 0.0687, 0.5667)  6 Rh 2.63-2.66, 1 Ge 2.71
Rh (0.5667, 0.5667, 0.0687)  6 Rh 2.63-2.66, 1 Ge 2.71
Rh (0.8173, 0.8173, 0.8173)  6 Rh 2.64

## TmGe4Rh5 (GGA-PBE)

Data for an optimized crystal structure of TmGe4Rh5.

Summary:
Space-group type = Pmmn (59)
M_tot = 0.0 μB/cell
VASP energy = -6.490 eV per atom
Formation enthalpy at 0 K = -0.52 eV/atom

a = 7.1305 Å, b = 8.5755 Å, c = 5.6395 Å
α = 90.00°, β = 90.00°, γ = 90.00°
Last column: nearest neighbours and their distance in Å.
Sites, in units of the cell vectors:
Tm (0.2500, 0.2500, 0.0236)  6 Ge 2.93-3.21, 4 Rh 2.97
Tm (0.7500, 0.7500, 0.9764)  6 Ge 2.93-3.21, 4 Rh 2.97
Ge (0.0631, 0.2500, 0.5412)  5 Rh 2.43-2.64, 1 Ge 2.67
Ge (0.2500, 0.5898, 0.9788)  5 Rh 2.41-2.46
Ge (0.2500, 0.9102, 0.9788)  5 Rh 2.41-2.46
Ge (0.4369, 0.2500, 0.5412)  5 Rh 2.43-2.64, 1 Ge 2.67
Ge (0.5631, 0.7500, 0.4588)  5 Rh 2.43-2.64, 1 Ge 2.67
Ge (0.7500, 0.0898, 0.0212)  5 Rh 2.41-2.46
Ge (0.7500, 0.4102, 0.0212)  5 Rh 2.41-2.46
Ge (0.9369, 0.7500, 0.4588)  5 Rh 2.43-2.64, 1 Ge 2.67
Rh (0.0197, 0.0063, 0.2605)  4 Ge 2.43-2.64, 1 Rh 2.72
Rh (0.0197, 0.4937, 0.2605)  4 Ge 2.43-2.64, 1 Rh 2.72
Rh (0.2500, 0.7500, 0.6278)  4 Ge 2.41-2.43
Rh (0.4803, 0.0063, 0.2605)  4 Ge 2.43-2.64, 1 Rh 2.72
Rh (0.4803, 0.4937, 0.2605)  4 Ge 2.43-2.64, 1 Rh 2.72
Rh (0.5197, 0.5063, 0.7395)  4 Ge 2.43-2.64, 1 Rh 2.72
Rh (0.5197, 0.9937, 0.7395)  4 Ge 2.43-2.64, 1 Rh 2.72
Rh (0.7500, 0.2500, 0.3722)  4 Ge 2.41-2.43
Rh (0.9803, 0.5063, 0.7395)  4 Ge 2.43-2.64, 1 Rh 2.72
Rh (0.9803, 0.9937, 0.7395)  4 Ge 2.43-2.64, 1 Rh 2.72

## TmGe3Rh2 (GGA-PBE)

Data for an optimized crystal structure of TmGe3Rh2.

Summary:
Space-group type = C2/m (12)
M_tot = 0.0 μB/cell
VASP energy = -6.110 eV per atom
Formation enthalpy at 0 K = -0.61 eV/atom

a = 7.8843 Å, b = 7.8843 Å, c = 7.5580 Å
α = 113.90°, β = 113.90°, γ = 29.88°
Last column: nearest neighbours and their distance in Å.
Sites, in units of the cell vectors:
Tm (0.1273, 0.1273, 0.1475)  6 Rh 2.92-3.16, 8 Ge 3.05-3.27
Tm (0.8727, 0.8727, 0.8525)  6 Rh 2.92-3.16, 8 Ge 3.05-3.27
Ge (0.0353, 0.0353, 0.6763)  1 Ge 2.42, 3 Rh 2.44-2.57
Ge (0.3197, 0.3197, 0.1030)  4 Rh 2.52-2.69
Ge (0.3317, 0.3317, 0.5272)  4 Rh 2.61-2.75
Ge (0.6683, 0.6683, 0.4728)  4 Rh 2.61-2.75
Ge (0.6803, 0.6803, 0.8970)  4 Rh 2.52-2.69
Ge (0.9647, 0.9647, 0.3237)  1 Ge 2.42, 3 Rh 2.44-2.57
Rh (0.2115, 0.2115, 0.7159)  7 Ge 2.57-2.75
Rh (0.4977, 0.4977, 0.1824)  4 Ge 2.44-2.61
Rh (0.5023, 0.5023, 0.8176)  4 Ge 2.44-2.61
Rh (0.7885, 0.7885, 0.2841)  7 Ge 2.57-2.75

## Tm3Ge3Rh (GGA-PBE)

Data for an optimized crystal structure of Tm3Ge3Rh.

Summary:
Energy relative to the lowest polymorph listed for this composition = 0 meV per atom
Space-group type = C2/m (12)
M_tot = 0.0 μB/cell
VASP energy = -5.857 eV per atom
Formation enthalpy at 0 K = -0.91 eV/atom

a = 5.6619 Å, b = 5.6619 Å, c = 13.7707 Å
α = 108.21°, β = 108.21°, γ = 43.89°
Last column: nearest neighbours and their distance in Å.
Sites, in units of the cell vectors:
Tm (0.0276, 0.0276, 0.3787)  6 Ge 2.93-3.13, 4 Rh 3.05-3.22
Tm (0.1015, 0.1015, 0.9222)  7 Ge 2.88-3.18
Tm (0.2410, 0.2410, 0.2312)  6 Ge 2.96-3.06, 2 Rh 3.08
Tm (0.7590, 0.7590, 0.7688)  6 Ge 2.96-3.06, 2 Rh 3.08
Tm (0.8985, 0.8985, 0.0778)  7 Ge 2.88-3.18
Tm (0.9724, 0.9724, 0.6213)  6 Ge 2.93-3.13, 4 Rh 3.05-3.22
Ge (0.3664, 0.3664, 0.4583)  3 Rh 2.47-2.66, 1 Ge 2.65
Ge (0.3775, 0.3775, 0.9252)  2 Ge 2.66-2.70, 5 Tm 2.88-2.98
Ge (0.4694, 0.4694, 0.7674)  1 Rh 2.59, 1 Ge 2.66
Ge (0.5306, 0.5306, 0.2326)  1 Rh 2.59, 1 Ge 2.66
Ge (0.6225, 0.6225, 0.0748)  2 Ge 2.66-2.70, 5 Tm 2.88-2.98
Ge (0.6336, 0.6336, 0.5417)  3 Rh 2.47-2.66, 1 Ge 2.65
Rh (0.2547, 0.2547, 0.6049)  4 Ge 2.47-2.66
Rh (0.7453, 0.7453, 0.3951)  4 Ge 2.47-2.66

## TmGe2Rh3 (GGA-PBE)

Data for an optimized crystal structure of TmGe2Rh3.

Summary:
Space-group type = I4/mmm (139)
M_tot = 0.0 μB/cell
VASP energy = -6.508 eV per atom
Formation enthalpy at 0 K = -0.55 eV/atom

a = 8.1393 Å, b = 8.1393 Å, c = 8.1393 Å
α = 151.86°, β = 151.86°, γ = 40.21°
Last column: nearest neighbours and their distance in Å.
Sites, in units of the cell vectors:
Tm (0.0000, 0.0000, 0.0000)  4 Rh 2.80
Ge (0.3433, 0.3433, 0.0000)  5 Rh 2.40-2.44
Ge (0.6567, 0.6567, 0.0000)  5 Rh 2.40-2.44
Rh (0.2500, 0.7500, 0.5000)  4 Ge 2.44
Rh (0.5000, 0.5000, 0.0000)  2 Ge 2.40
Rh (0.7500, 0.2500, 0.5000)  4 Ge 2.44

## TmGe4Rh4 (GGA-PBE)

Data for an optimized crystal structure of TmGe4Rh4.

Summary:
Space-group type = P4_2/nmc (137)
M_tot = 0.0 μB/cell
VASP energy = -6.364 eV per atom
Formation enthalpy at 0 K = -0.55 eV/atom

a = 6.1275 Å, b = 6.1275 Å, c = 8.1649 Å
α = 90.00°, β = 90.00°, γ = 90.00°
Last column: nearest neighbours and their distance in Å.
Sites, in units of the cell vectors:
Tm (0.2500, 0.7500, 0.2500)  4 Ge 3.13, 8 Rh 3.51
Tm (0.7500, 0.2500, 0.7500)  4 Ge 3.13, 8 Rh 3.51
Ge (0.0376, 0.2500, 0.0671)  5 Rh 2.46-2.51, 1 Ge 2.60
Ge (0.2500, 0.0376, 0.5671)  5 Rh 2.46-2.51, 1 Ge 2.60
Ge (0.2500, 0.4624, 0.5671)  5 Rh 2.46-2.51, 1 Ge 2.60
Ge (0.4624, 0.2500, 0.0671)  5 Rh 2.46-2.51, 1 Ge 2.60
Ge (0.5376, 0.7500, 0.9329)  5 Rh 2.46-2.51, 1 Ge 2.60
Ge (0.7500, 0.5376, 0.4329)  5 Rh 2.46-2.51, 1 Ge 2.60
Ge (0.7500, 0.9624, 0.4329)  5 Rh 2.46-2.51, 1 Ge 2.60
Ge (0.9624, 0.7500, 0.9329)  5 Rh 2.46-2.51, 1 Ge 2.60
Rh (0.0208, 0.2500, 0.3682)  5 Ge 2.46-2.51
Rh (0.2500, 0.0208, 0.8682)  5 Ge 2.46-2.51
Rh (0.2500, 0.4792, 0.8682)  5 Ge 2.46-2.51
Rh (0.4792, 0.2500, 0.3682)  5 Ge 2.46-2.51
Rh (0.5208, 0.7500, 0.6318)  5 Ge 2.46-2.51
Rh (0.7500, 0.5208, 0.1318)  5 Ge 2.46-2.51
Rh (0.7500, 0.9792, 0.1318)  5 Ge 2.46-2.51
Rh (0.9792, 0.7500, 0.6318)  5 Ge 2.46-2.51

## Tm2Ge7Rh12 (GGA-PBE)

Data for an optimized crystal structure of Tm2Ge7Rh12.

Summary:
Space-group type = P-6 (174)
M_tot = 0.0 μB/cell
VASP energy = -6.869 eV per atom
Formation enthalpy at 0 K = -0.70 eV/atom

a = 9.9494 Å, b = 9.9494 Å, c = 3.8826 Å
α = 90.00°, β = 90.00°, γ = 120.00°
Last column: nearest neighbours and their distance in Å.
Sites, in units of the cell vectors:
Tm (0.0000, 0.0000, 0.0000)  6 Ge 3.11, 6 Rh 3.13
Tm (0.3333, 0.6667, 0.5000)  6 Ge 3.10, 9 Rh 3.18-3.37
Ge (0.0722, 0.4468, 0.0000)  7 Rh 2.43-2.56
Ge (0.2648, 0.2168, 0.5000)  7 Rh 2.43-2.57
Ge (0.3746, 0.9278, 0.0000)  7 Rh 2.43-2.56
Ge (0.5532, 0.6254, 0.0000)  7 Rh 2.43-2.56
Ge (0.6667, 0.3333, 0.5000)  3 Rh 2.38
Ge (0.7832, 0.0479, 0.5000)  7 Rh 2.43-2.57
Ge (0.9521, 0.7352, 0.5000)  7 Rh 2.43-2.57
Rh (0.0469, 0.2675, 0.5000)  4 Ge 2.43-2.56
Rh (0.1082, 0.7151, 0.0000)  4 Ge 2.43-2.56
Rh (0.2205, 0.9531, 0.5000)  4 Ge 2.43-2.56
Rh (0.2849, 0.3931, 0.0000)  4 Ge 2.43-2.56
Rh (0.4259, 0.2009, 0.0000)  3 Ge 2.50-2.57
Rh (0.5151, 0.4581, 0.5000)  4 Ge 2.38-2.46
Rh (0.5419, 0.0570, 0.5000)  4 Ge 2.38-2.46
Rh (0.6069, 0.8918, 0.0000)  4 Ge 2.43-2.56
Rh (0.7325, 0.7795, 0.5000)  4 Ge 2.43-2.56
Rh (0.7749, 0.5741, 0.0000)  3 Ge 2.50-2.57
Rh (0.7991, 0.2251, 0.0000)  3 Ge 2.50-2.57
Rh (0.9430, 0.4849, 0.5000)  4 Ge 2.38-2.46

## Tm8GeRh2 (GGA-PBE)

Data for an optimized crystal structure of Tm8GeRh2.

Summary:
Space-group type = Cm (8)
M_tot = 0.0 μB/cell
VASP energy = -5.457 eV per atom
Formation enthalpy at 0 K = -0.45 eV/atom

a = 7.5072 Å, b = 7.5072 Å, c = 5.8269 Å
α = 99.62°, β = 99.62°, γ = 113.04°
Last column: nearest neighbours and their distance in Å.
Sites, in units of the cell vectors:
Tm (0.0000, 0.0000, 0.0000)  2 Rh 2.97, 1 Ge 3.03
Tm (0.0381, 0.2982, 0.6004)  2 Rh 2.74-2.79, 1 Ge 3.04
Tm (0.1517, 0.6009, 0.1951)  1 Ge 2.97, 2 Rh 3.07-3.16, 1 Tm 3.30
Tm (0.2982, 0.0381, 0.6004)  2 Rh 2.74-2.79, 1 Ge 3.04
Tm (0.4498, 0.7155, 0.8048)  2 Rh 2.78-2.80, 1 Ge 2.99
Tm (0.6009, 0.1517, 0.1951)  1 Ge 2.97, 2 Rh 3.07-3.16, 1 Tm 3.30
Tm (0.7155, 0.4498, 0.8048)  2 Rh 2.78-2.80, 1 Ge 2.99
Tm (0.7372, 0.7372, 0.3783)  2 Rh 2.96, 1 Ge 3.09
Ge (0.3716, 0.3716, 0.0315)  8 Tm 2.97-3.09
Rh (0.0596, 0.6844, 0.6852)  7 Tm 2.74-3.07
Rh (0.6844, 0.0596, 0.6852)  7 Tm 2.74-3.07

Please write out number 9 again, unchanged.
## Tm8GeRh2 (GGA-PBE)

Data for an optimized crystal structure of Tm8GeRh2.

Summary:
Space-group type = Cm (8)
M_tot = 0.0 μB/cell
VASP energy = -5.457 eV per atom
Formation enthalpy at 0 K = -0.45 eV/atom

a = 7.5072 Å, b = 7.5072 Å, c = 5.8269 Å
α = 99.62°, β = 99.62°, γ = 113.04°
Last column: nearest neighbours and their distance in Å.
Sites, in units of the cell vectors:
Tm (0.0000, 0.0000, 0.0000)  2 Rh 2.97, 1 Ge 3.03
Tm (0.0381, 0.2982, 0.6004)  2 Rh 2.74-2.79, 1 Ge 3.04
Tm (0.1517, 0.6009, 0.1951)  1 Ge 2.97, 2 Rh 3.07-3.16, 1 Tm 3.30
Tm (0.2982, 0.0381, 0.6004)  2 Rh 2.74-2.79, 1 Ge 3.04
Tm (0.4498, 0.7155, 0.8048)  2 Rh 2.78-2.80, 1 Ge 2.99
Tm (0.6009, 0.1517, 0.1951)  1 Ge 2.97, 2 Rh 3.07-3.16, 1 Tm 3.30
Tm (0.7155, 0.4498, 0.8048)  2 Rh 2.78-2.80, 1 Ge 2.99
Tm (0.7372, 0.7372, 0.3783)  2 Rh 2.96, 1 Ge 3.09
Ge (0.3716, 0.3716, 0.0315)  8 Tm 2.97-3.09
Rh (0.0596, 0.6844, 0.6852)  7 Tm 2.74-3.07
Rh (0.6844, 0.0596, 0.6852)  7 Tm 2.74-3.07